(1)
# Au2BrCl

A geometry-optimized Au2BrCl structure (PBE, Alexandria via LeMat-Bulk).

Values from the calculation:
ΔE to the lowest computed polymorph ... 558 meV/atom
Theoretical density ... 10.07 g cm⁻³
Fermi-level density of states ... 3.08 states/eV/cell
Energy relative to the elements, uncorrected ... 0.46 eV per atom

a b c (Å): 4.9148 4.9148 4.9148
angles (deg): 60.00 60.00 60.00
Last column: nearest neighbours and their distance in Å.
Fractional coordinates of all 4 atoms:
Au 0.2500 0.2500 0.2500  4 Br 3.01, 4 Au 3.01
Au 0.0000 0.0000 0.0000  4 Cl 3.01, 4 Au 3.01
Br 0.5000 0.5000 0.5000  4 Cl 3.01, 4 Au 3.01
Cl 0.7500 0.7500 0.7500  4 Br 3.01, 4 Au 3.01



(2)
# LiAc2MgAu2

A geometry-optimized LiAc2MgAu2 structure (PBE, Alexandria via LeMat-Bulk).

Values from the calculation:
Theoretical density ... 8.94 g cm⁻³
Fermi-level density of states ... 7.68 states/eV/cell
Formation energy ... -3.51 eV/f.u.

a b c (Å): 6.0954 6.1344 9.7461
angles (deg): 108.34 108.22 90.00
Last column: nearest neighbours and their distance in Å.
Fractional coordinates of all 12 atoms:
Li 0.0000 0.7500 0.0000  4 Au 2.91, 2 Mg 3.05, 2 Li 3.07
Li 0.0000 0.2500 0.0000  4 Au 2.91, 2 Mg 3.05, 2 Li 3.07
Au 0.8512 0.1094 0.2188  2 Mg 2.86, 2 Li 2.91
Au 0.6324 0.3906 0.7812  2 Mg 2.86, 2 Li 2.91
Au 0.1488 0.8906 0.7812  2 Mg 2.86, 2 Li 2.91
Au 0.3676 0.6094 0.2188  2 Mg 2.86, 2 Li 2.91
Ac 0.9304 0.6712 0.3423  4 Au 3.23-3.25
Ac 0.5881 0.8288 0.6577  4 Au 3.23-3.25
Ac 0.0696 0.3288 0.6577  4 Au 3.23-3.25
Ac 0.4119 0.1712 0.3423  4 Au 3.23-3.25
Mg 0.5000 0.2500 0.0000  4 Au 2.86, 2 Li 3.05, 2 Mg 3.07
Mg 0.5000 0.7500 0.0000  4 Au 2.86, 2 Li 3.05, 2 Mg 3.07



(3)
# Er2FeNi

A geometry-optimized Er2FeNi structure (PBE, Alexandria via LeMat-Bulk).

Values from the calculation:
ΔE to the lowest computed polymorph ... 651 meV/atom
Theoretical density ... 8.52 g cm⁻³
Fermi-level density of states ... 3.38 states/eV/cell
Formation energy ... 1.96 eV/f.u.

a b c (Å): 3.3380 3.3380 9.2718
angles (deg): 79.63 79.63 60.00
Last column: nearest neighbours and their distance in Å.
Fractional coordinates of all 4 atoms:
Fe 0.0000 0.0000 0.0000  2 Er 2.65
Er 0.9026 0.9026 0.2921  1 Fe 2.65, 3 Ni 2.70
Er 0.0974 0.0974 0.7079  1 Fe 2.65, 3 Ni 2.70
Ni 0.5000 0.5000 0.5000  6 Er 2.70



(4)
# BPdSe3

A geometry-optimized BPdSe3 structure (PBE, Alexandria via LeMat-Bulk).

Values from the calculation:
ΔE to the lowest computed polymorph ... 825 meV/atom
Theoretical density ... 6.73 g cm⁻³
Fermi-level density of states ... 5.37 states/eV/cell
Energy relative to the elements, uncorrected ... 0.76 eV per atom

a b c (Å): 4.4382 4.4382 4.4382
angles (deg): 90.00 90.00 90.00
Last column: nearest neighbours and their distance in Å.
Fractional coordinates of all 5 atoms:
Se 0.0000 0.0000 0.5000  2 B 2.22
Se 0.0000 0.5000 0.0000  2 B 2.22
Se 0.5000 0.0000 0.0000  2 B 2.22
Pd 0.5000 0.5000 0.5000  12 Se 3.14
B 0.0000 0.0000 0.0000  6 Se 2.22



(5)
# U2SnS6

A geometry-optimized U2SnS6 structure (PBE, Alexandria via LeMat-Bulk).

Values from the calculation:
ΔE to the lowest computed polymorph ... 43 meV/atom
Theoretical density ... 5.43 g cm⁻³
Fermi-level density of states ... 25.76 states/eV/cell
Energy relative to the elements, uncorrected ... -0.99 eV per atom

a b c (Å): 6.2500 6.2500 12.3262
angles (deg): 90.00 90.00 90.00
Last column: nearest neighbours and their distance in Å.
Fractional coordinates of all 18 atoms:
U 0.0000 0.0000 0.8332  6 S 2.61-2.66
U 0.5000 0.5000 0.6668  6 S 2.61-2.66
U 0.5000 0.5000 0.3332  6 S 2.61-2.66
U 0.0000 0.0000 0.1668  6 S 2.61-2.66
S 0.3003 0.3003 0.1775  2 U 2.61-2.66, 1 Sn 2.81
S 0.6997 0.6997 0.8225  2 U 2.61-2.66, 1 Sn 2.81
S 0.8003 0.1997 0.6775  2 U 2.61-2.66, 1 Sn 2.81
S 0.1832 0.8168 0.0000  2 U 2.62, 1 Sn 2.80
S 0.1997 0.8003 0.3225  2 U 2.61-2.66, 1 Sn 2.81
S 0.8168 0.1832 0.0000  2 U 2.62, 1 Sn 2.80
S 0.1997 0.8003 0.6775  2 U 2.61-2.66, 1 Sn 2.81
S 0.8003 0.1997 0.3225  2 U 2.61-2.66, 1 Sn 2.81
S 0.6997 0.6997 0.1775  2 U 2.61-2.66, 1 Sn 2.81
S 0.6832 0.6832 0.5000  2 U 2.62, 1 Sn 2.80
S 0.3003 0.3003 0.8225  2 U 2.61-2.66, 1 Sn 2.81
S 0.3168 0.3168 0.5000  2 U 2.62, 1 Sn 2.80
Sn 0.0000 0.0000 0.5000  6 S 2.80-2.81
Sn 0.5000 0.5000 0.0000  6 S 2.80-2.81



(6)
# LiPrHoSn

A geometry-optimized LiPrHoSn structure (PBE, Alexandria via LeMat-Bulk).

Values from the calculation:
Theoretical density ... 6.76 g cm⁻³
Fermi-level density of states ... 2.64 states/eV/cell
Formation energy ... -1.68 eV/f.u.

a b c (Å): 5.3129 5.3129 5.3129
angles (deg): 60.00 60.00 60.00
Last column: nearest neighbours and their distance in Å.
Fractional coordinates of all 4 atoms:
Li 0.7500 0.7500 0.7500  4 Ho 3.25, 4 Pr 3.25
Pr 0.5000 0.5000 0.5000  4 Li 3.25, 4 Sn 3.25
Ho 0.0000 0.0000 0.0000  4 Sn 3.25, 4 Li 3.25
Sn 0.2500 0.2500 0.2500  4 Ho 3.25, 4 Pr 3.25



(7)
# PmHo2Se

A geometry-optimized PmHo2Se structure (PBE, Alexandria via LeMat-Bulk).

Values from the calculation:
ΔE to the lowest computed polymorph ... 6 meV/atom
Theoretical density ... 7.79 g cm⁻³
Fermi-level density of states ... 3.62 states/eV/cell
Energy relative to the elements, uncorrected ... -0.80 eV per atom

a b c (Å): 3.7836 3.7836 9.7658
angles (deg): 78.83 78.83 60.00
Last column: nearest neighbours and their distance in Å.
Fractional coordinates of all 4 atoms:
Ho 0.2688 0.2688 0.1937  3 Se 2.86
Ho 0.0649 0.0649 0.8054  3 Se 2.86
Pm 0.4996 0.4996 0.5011  6 Ho 3.63-3.65, 6 Pm 3.78
Se 0.6667 0.6667 0.9998  6 Ho 2.86



(8)
# K2InNi

A geometry-optimized K2InNi structure (PBE, Alexandria via LeMat-Bulk).

Values from the calculation:
Theoretical density ... 3.00 g cm⁻³
Fermi-level density of states ... 1.84 states/eV/cell
Formation energy ... 0.62 eV/f.u.

a b c (Å): 3.6773 3.6773 10.2910
angles (deg): 90.00 90.00 90.00
Last column: nearest neighbours and their distance in Å.
Fractional coordinates of all 4 atoms:
In 0.5000 0.5000 0.6444  4 Ni 2.62
Ni 0.0000 0.0000 0.6117  4 In 2.62
K 0.0000 0.0000 0.9219  1 Ni 3.19
K 0.5000 0.5000 0.3220  1 In 3.32, 4 K 3.68



Q: Number 7 is which compound?
A: PmHo2Se